Computed, not measured: a relaxed ScMn3Re crystal at the PBE level of DFT.

Summary:
ΔE to the lowest computed polymorph = 99.9 kJ per mole of atoms
Formation energy = 9.738 eV/f.u.
V = 14.6 A^3/atom

a b c (Å): 4.175 4.175 4.175
angles (deg): 90.00 90.00 90.00
Space group Pm-3m (No. 221)
Inequivalent atoms, fractional coordinates:
Sc: 0.000 0.000 0.000 [1 per cell]
Mn: 0.000 0.000 0.500 [3 per cell]
Re: 0.500 0.500 0.500 [1 per cell]

***

Computed, not measured: a relaxed TiInSe4 crystal at the PBE level of DFT.

Summary:
ΔE_f (raw) = -0.632 eV/atom
V = 25.0 A^3/atom

a b c (Å): 13.620 3.680 6.735
angles (deg): 90.00 117.25 90.00
Space group C2/m (No. 12)
Inequivalent atoms, fractional coordinates:
Ti: 0.000 0.000 0.000 [2 per cell]
In: 0.000 0.500 0.500 [2 per cell]
Se: 0.126 0.500 0.256 [4 per cell]
Se: 0.127 0.000 0.807 [4 per cell]

***

- What is the formula in the first record?
  ScMn3Re

***

- Which value of V does entry 1 give?
  14.6 A^3/atom